Record 1
VASP calculation (PBE-GGA) on crystalline GePdN2 at its relaxed geometry.

Results
As for the symmetry: I-42d. The uncorrected formation energy is 481 meV per atom.

a b c (Å): 4.872 4.872 5.419
angles (deg): 63.28 63.28 90.00
Element x y z (fractional)
1 Ge 0.500 0.500 0.000
2 Ge 0.250 0.750 0.500
3 Pd 0.000 0.000 0.000
4 Pd 0.750 0.250 0.500
5 N 0.574 0.125 0.250
6 N 0.176 0.625 0.250
7 N 0.375 0.426 0.750
8 N 0.875 0.824 0.750

***

Record 2
VASP calculation (PBE-GGA) on crystalline Ru2SN at its relaxed geometry.

Results
As for the symmetry: Fm-3m. As for the polymorph energy (0 for the lowest one): 0.6681 eV/atom. The uncorrected formation energy is 685 meV per atom.

a b c (Å): 4.011 4.011 4.011
angles (deg): 60.00 60.00 60.00
Element x y z (fractional)
1 Ru 0.250 0.250 0.250
2 Ru 0.750 0.750 0.750
3 S 0.500 0.500 0.500
4 N 0.000 0.000 0.000

***

What is the formula in the second record? Ru2SN